No. 1
! PbAu2Cl6, optimized geometry, DFT PBE-GGA; values from VASP
! Symmetry: C2/c
! Total moment: 0.000 μB per formula unit
! Energy above the most stable polymorph in this dataset: 89 meV/atom
! D(E_F): 0.77 states/eV/atom
! Total energy: -24.9 eV/f.u.
! Formation energy (no corrections): -0.40 eV/atom
&SYSTEM
  ibrav = 0, nat = 18, ntyp = 3
/
ATOMIC_SPECIES
Pb 207.20 Pb.upf
Au 196.97 Au.upf
Cl 35.45 Cl.upf
CELL_PARAMETERS angstrom
-6.9469 2.4439 0.6116
-3.3249 -8.2598 -1.4100
-0.7064 -3.2651 8.3730
ATOMIC_POSITIONS crystal
Pb 0.2500 0.0865 0.9135
Pb 0.7500 0.9135 0.0865
Au 0.1024 0.5423 0.7450
Au 0.3976 0.2550 0.4577
Au 0.8976 0.4577 0.2550
Au 0.6024 0.7450 0.5423
Cl 0.2927 0.7334 0.5638
Cl 0.2073 0.4362 0.2666
Cl 0.7073 0.2666 0.4362
Cl 0.7927 0.5638 0.7334
Cl 0.8587 0.8456 0.4065
Cl 0.6413 0.5935 0.1544
Cl 0.1413 0.1544 0.5935
Cl 0.3587 0.4065 0.8456
Cl 0.0841 0.8078 0.9772
Cl 0.4159 0.0228 0.1922
Cl 0.9159 0.1922 0.0228
Cl 0.5841 0.9772 0.8078

=====

No. 2
! RbPbAuCl6, optimized geometry, DFT PBE-GGA; values from VASP
! Symmetry: P312
! Total moment: 2.023 μB per formula unit
! D(E_F): 0.05 states/eV/atom
! Total energy: -26.8 eV/f.u.
! Formation energy (no corrections): -0.86 eV/atom
&SYSTEM
  ibrav = 0, nat = 9, ntyp = 4
/
ATOMIC_SPECIES
Rb 85.47 Rb.upf
Pb 207.20 Pb.upf
Au 196.97 Au.upf
Cl 35.45 Cl.upf
CELL_PARAMETERS angstrom
7.1826 -0.0001 0.0002
3.5913 6.2201 0.0005
-0.0001 -0.0004 7.0915
ATOMIC_POSITIONS crystal
Rb 0.0000 0.0000 0.0000
Pb 0.6666 0.6667 0.5000
Au 0.3333 0.3333 0.5000
Cl 0.0400 0.3490 0.2894
Cl 0.3489 0.0400 0.7106
Cl 0.6110 0.3490 0.7106
Cl 0.0400 0.6110 0.7106
Cl 0.3489 0.6111 0.2894
Cl 0.6110 0.0400 0.2894

=====

No. 3
! RbPb2AuCl8, optimized geometry, DFT PBE-GGA; values from VASP
! Symmetry: P-1
! Total moment: 0.000 μB per formula unit
! Total energy: -38.5 eV/f.u.
! Formation energy (no corrections): -1.01 eV/atom
&SYSTEM
  ibrav = 0, nat = 12, ntyp = 4
/
ATOMIC_SPECIES
Rb 85.47 Rb.upf
Pb 207.20 Pb.upf
Au 196.97 Au.upf
Cl 35.45 Cl.upf
CELL_PARAMETERS angstrom
9.2392 0.8125 1.2622
0.9760 5.2981 1.3777
1.6223 1.9398 8.6680
ATOMIC_POSITIONS crystal
Rb 0.0000 0.0000 0.5000
Pb 0.4931 0.4108 0.7650
Pb 0.5069 0.5892 0.2350
Au 0.0000 0.0000 0.0000
Cl 0.1261 0.7058 0.2225
Cl 0.5744 0.8587 0.8354
Cl 0.8561 0.2566 0.1568
Cl 0.8739 0.2942 0.7775
Cl 0.4256 0.1413 0.1646
Cl 0.1439 0.7435 0.8432
Cl 0.6972 0.5507 0.4389
Cl 0.3028 0.4493 0.5611

=====

No. 4
! SrPbAuCl, optimized geometry, DFT PBE-GGA; values from VASP
! Symmetry: Cm
! Total moment: 0.000 μB per formula unit
! Energy above the most stable polymorph in this dataset: 5 meV/atom
! D(E_F): 0.29 states/eV/atom
! Total energy: -14.5 eV/f.u.
! Formation energy (no corrections): -0.99 eV/atom
&SYSTEM
  ibrav = 0, nat = 4, ntyp = 4
/
ATOMIC_SPECIES
Pb 207.20 Pb.upf
Sr 87.62 Sr.upf
Au 196.97 Au.upf
Cl 35.45 Cl.upf
CELL_PARAMETERS angstrom
3.7638 -0.0001 -0.0010
0.0021 3.7671 -0.0001
0.3535 0.3575 8.6375
ATOMIC_POSITIONS crystal
Pb 0.3209 0.7872 0.4617
Sr 0.2816 0.7471 0.8753
Au 0.8056 0.2717 0.6253
Cl 0.7664 0.2315 0.0394

=====

No. 5
! SrPbAuCl, optimized geometry, DFT PBE-GGA; values from VASP
! Symmetry: Pm
! Total moment: 0.000 μB per formula unit
! Energy above the most stable polymorph in this dataset: 7 meV/atom
! D(E_F): 0.30 states/eV/atom
! Total energy: -14.5 eV/f.u.
! Formation energy (no corrections): -0.99 eV/atom
&SYSTEM
  ibrav = 0, nat = 4, ntyp = 4
/
ATOMIC_SPECIES
Pb 207.20 Pb.upf
Sr 87.62 Sr.upf
Au 196.97 Au.upf
Cl 35.45 Cl.upf
CELL_PARAMETERS angstrom
4.0660 0.0000 -0.0053
0.0000 3.9537 0.0000
-2.0145 0.0000 7.4794
ATOMIC_POSITIONS crystal
Pb 0.9030 0.0000 0.5385
Sr 0.1768 0.0000 0.0851
Au 0.3427 0.5000 0.4174
Cl 0.6133 0.5000 0.9574

=====

No. 6
! SrPbAuCl, optimized geometry, DFT PBE-GGA; values from VASP
! Symmetry: Cm
! Total moment: 0.000 μB per formula unit
! Energy above the most stable polymorph in this dataset: 0 meV/atom
! D(E_F): 0.33 states/eV/atom
! Total energy: -14.5 eV/f.u.
! Formation energy (no corrections): -1.00 eV/atom
&SYSTEM
  ibrav = 0, nat = 8, ntyp = 4
/
ATOMIC_SPECIES
Pb 207.20 Pb.upf
Sr 87.62 Sr.upf
Au 196.97 Au.upf
Cl 35.45 Cl.upf
CELL_PARAMETERS angstrom
-6.5999 0.0865 5.6935
-2.1085 -2.8485 -2.4008
4.9734 -5.6056 2.2831
ATOMIC_POSITIONS crystal
Pb 0.4686 0.0000 0.4049
Pb 0.4686 0.5000 0.9049
Sr 0.8689 0.0000 0.8867
Sr 0.8689 0.5000 0.3867
Au 0.6207 0.0000 0.1333
Au 0.6207 0.5000 0.6333
Cl 0.0434 0.0000 0.6176
Cl 0.0434 0.5000 0.1176

=====

No. 7
! TaPbAuCl2, optimized geometry, DFT PBE-GGA; values from VASP
! Symmetry: P4/mmm
! Total moment: 2.781 μB per formula unit
! D(E_F): 1.50 states/eV/atom
! Total energy: -17.4 eV/f.u.
! Formation energy (no corrections): 1.02 eV/atom
&SYSTEM
  ibrav = 0, nat = 5, ntyp = 4
/
ATOMIC_SPECIES
Pb 207.20 Pb.upf
Cl 35.45 Cl.upf
Au 196.97 Au.upf
Ta 180.95 Ta.upf
CELL_PARAMETERS angstrom
5.2415 0.0000 0.0000
0.0000 5.9299 0.0000
0.0000 0.0000 5.2415
ATOMIC_POSITIONS crystal
Pb 0.0000 0.0000 0.0000
Cl 0.0000 0.0000 0.5000
Cl 0.5000 0.0000 0.0000
Au 0.5000 0.5000 0.5000
Ta 0.0000 0.5000 0.0000

=====

No. 8
! PbW2AuCl, optimized geometry, DFT PBE-GGA; values from VASP
! Symmetry: P4/mmm
! Total moment: 0.398 μB per formula unit
! D(E_F): 0.89 states/eV/atom
! Total energy: -26.6 eV/f.u.
! Formation energy (no corrections): 1.62 eV/atom
&SYSTEM
  ibrav = 0, nat = 5, ntyp = 4
/
ATOMIC_SPECIES
Pb 207.20 Pb.upf
Au 196.97 Au.upf
W 183.84 W.upf
Cl 35.45 Cl.upf
CELL_PARAMETERS angstrom
-0.1397 -4.4562 -0.3494
5.5326 -0.1400 -0.4262
0.3334 -0.3590 4.4451
ATOMIC_POSITIONS crystal
Pb 0.0000 0.5000 0.0000
Au 0.5000 0.5000 0.5000
W 0.0000 0.0000 0.5000
W 0.5000 0.0000 0.0000
Cl 0.0000 0.0000 0.0000

=====

No. 9
! PdAu2Cl, optimized geometry, DFT PBE-GGA; values from VASP
! Symmetry: Fm-3m
! Total moment: 0.000 μB per formula unit
! Energy above the most stable polymorph in this dataset: 20 meV/atom
! D(E_F): 0.34 states/eV/atom
! Total energy: -12.3 eV/f.u.
! Formation energy (no corrections): 0.32 eV/atom
&SYSTEM
  ibrav = 0, nat = 4, ntyp = 3
/
ATOMIC_SPECIES
Au 196.97 Au.upf
Pd 106.42 Pd.upf
Cl 35.45 Cl.upf
CELL_PARAMETERS angstrom
0.0000 3.3155 3.3155
3.3155 0.0000 3.3155
3.3155 3.3155 0.0000
ATOMIC_POSITIONS crystal
Au 0.2500 0.2500 0.2500
Au 0.7500 0.7500 0.7500
Pd 0.5000 0.5000 0.5000
Cl 0.0000 0.0000 0.0000

=====

No. 10
! PdAuCl2, optimized geometry, DFT PBE-GGA; values from VASP
! Symmetry: I-42d
! Total moment: 1.001 μB per formula unit
! Energy above the most stable polymorph in this dataset: 148 meV/atom
! D(E_F): 0.07 states/eV/atom
! Total energy: -11.6 eV/f.u.
! Formation energy (no corrections): 0.13 eV/atom
&SYSTEM
  ibrav = 0, nat = 8, ntyp = 3
/
ATOMIC_SPECIES
Au 196.97 Au.upf
Pd 106.42 Pd.upf
Cl 35.45 Cl.upf
CELL_PARAMETERS angstrom
-3.6324 4.5947 3.7117
0.2101 -4.2542 5.4718
1.2121 1.6455 5.6264
ATOMIC_POSITIONS crystal
Au 0.0000 0.0000 0.0000
Au 0.7500 0.2500 0.5000
Pd 0.5000 0.5000 0.0000
Pd 0.2500 0.7500 0.5000
Cl 0.6082 0.1250 0.2500
Cl 0.1418 0.6250 0.2500
Cl 0.3750 0.3918 0.7500
Cl 0.8750 0.8582 0.7500

=====

No. 11
! PdAu3Cl, optimized geometry, DFT PBE-GGA; values from VASP
! Symmetry: Pm-3m
! Total moment: 0.000 μB per formula unit
! D(E_F): 0.46 states/eV/atom
! Total energy: -11.8 eV/f.u.
! Formation energy (no corrections): 1.02 eV/atom
&SYSTEM
  ibrav = 0, nat = 5, ntyp = 3
/
ATOMIC_SPECIES
Au 196.97 Au.upf
Pd 106.42 Pd.upf
Cl 35.45 Cl.upf
CELL_PARAMETERS angstrom
-4.6199 -0.3944 -1.4866
1.1715 -3.9517 -2.5925
-0.9964 -2.8174 3.8443
ATOMIC_POSITIONS crystal
Au 0.0000 0.5000 0.0000
Au 0.0000 0.0000 0.5000
Au 0.5000 0.0000 0.0000
Pd 0.5000 0.5000 0.5000
Cl 0.0000 0.0000 0.0000

=====

No. 12
! PdAuCl2, optimized geometry, DFT PBE-GGA; values from VASP
! Symmetry: Fm-3m
! Total moment: 1.016 μB per formula unit
! Energy above the most stable polymorph in this dataset: 327 meV/atom
! D(E_F): 0.58 states/eV/atom
! Total energy: -10.9 eV/f.u.
! Formation energy (no corrections): 0.31 eV/atom
&SYSTEM
  ibrav = 0, nat = 4, ntyp = 3
/
ATOMIC_SPECIES
Au 196.97 Au.upf
Pd 106.42 Pd.upf
Cl 35.45 Cl.upf
CELL_PARAMETERS angstrom
0.0000 3.3436 3.3436
3.3436 0.0000 3.3436
3.3436 3.3436 0.0000
ATOMIC_POSITIONS crystal
Au 0.5000 0.5000 0.5000
Pd 0.0000 0.0000 0.0000
Cl 0.2500 0.2500 0.2500
Cl 0.7500 0.7500 0.7500